No. 1
# Rb2BaTaO4, optimized geometry, DFT PBE-GGA
# formation energy without anion corrections	-2.23	eV/atom
# M_tot	0.000	μB/atom
# crystal system	tetragonal
# symmetry	I-4 (82)
# ρ	4.34	g/cm³
data_Rb2BaTaO4
_cell_length_a 6.934
_cell_length_b 6.934
_cell_length_c 6.934
_cell_angle_alpha 80.22
_cell_angle_beta 125.80
_cell_angle_gamma 125.80
_space_group_name_H-M_alt 'P 1'
_space_group_IT_number 1
_space_group_name_Hall 'P 1'
loop_
_atom_site_label
_atom_site_type_symbol
_atom_site_fract_x
_atom_site_fract_y
_atom_site_fract_z
_atom_site_occupancy
O1 O 0.343 0.803 0.741 1
Ta1 Ta 0.000 0.500 0.500 1
Rb1 Rb 0.500 0.750 0.250 1
O2 O 0.938 0.540 0.197 1
O3 O 0.062 0.259 0.602 1
O4 O 0.657 0.398 0.460 1
Ba1 Ba 0.500 0.250 0.750 1
Rb2 Rb 0.000 0.000 0.000 1

=====

No. 2
# ZrSc2Te, optimized geometry, DFT PBE-GGA
# formation energy without anion corrections	-0.38	eV/atom
# M_tot	0.000	μB/atom
# crystal system	monoclinic
# symmetry	Pm (6)
# ρ	5.39	g/cm³
data_ZrSc2Te
_cell_length_a 4.793
_cell_length_b 3.578
_cell_length_c 5.729
_cell_angle_alpha 75.59
_cell_angle_beta 90.00
_cell_angle_gamma 90.00
_space_group_name_H-M_alt 'P 1'
_space_group_IT_number 1
_space_group_name_Hall 'P 1'
loop_
_atom_site_label
_atom_site_type_symbol
_atom_site_fract_x
_atom_site_fract_y
_atom_site_fract_z
_atom_site_occupancy
Te1 Te 0.000 0.686 0.471 1
Zr1 Zr 0.500 0.568 0.782 1
Sc1 Sc 0.000 0.995 0.933 1
Sc2 Sc 0.500 0.252 0.314 1

=====

No. 3
# Sr3YAs, optimized geometry, DFT PBE-GGA
# M_tot	0.000	μB/atom
# E_form	-215	meV/atom
# crystal system	cubic
# symmetry	Pm-3m (221)
# energy above the most stable polymorph in this dataset	0	meV per atom
# ρ	3.21	g/cm³
data_Sr3YAs
_cell_length_a 6.043
_cell_length_b 6.043
_cell_length_c 6.043
_cell_angle_alpha 90.00
_cell_angle_beta 90.00
_cell_angle_gamma 90.00
_space_group_name_H-M_alt 'P 1'
_space_group_IT_number 1
_space_group_name_Hall 'P 1'
loop_
_atom_site_label
_atom_site_type_symbol
_atom_site_fract_x
_atom_site_fract_y
_atom_site_fract_z
_atom_site_occupancy
Sr1 Sr 0.000 0.500 0.000 1
As1 As 0.000 0.000 0.000 1
Sr2 Sr 0.000 0.000 0.500 1
Y1 Y 0.500 0.500 0.500 1
Sr3 Sr 0.500 0.000 0.000 1

=====

No. 4
# LaScP, optimized geometry, DFT PBE-GGA
# M_tot	0.637	μB/atom
# E_form	269	meV/atom
# crystal system	cubic
# symmetry	F-43m (216)
# energy above the most stable polymorph in this dataset	1299	meV per atom
# ρ	4.31	g/cm³
data_LaScP
_cell_length_a 4.890
_cell_length_b 4.890
_cell_length_c 4.890
_cell_angle_alpha 60.00
_cell_angle_beta 60.00
_cell_angle_gamma 60.00
_space_group_name_H-M_alt 'P 1'
_space_group_IT_number 1
_space_group_name_Hall 'P 1'
loop_
_atom_site_label
_atom_site_type_symbol
_atom_site_fract_x
_atom_site_fract_y
_atom_site_fract_z
_atom_site_occupancy
Sc1 Sc 0.500 0.500 0.500 1
P1 P 0.000 0.000 0.000 1
La1 La 0.250 0.250 0.250 1

=====

No. 5
# YTlCl2, optimized geometry, DFT PBE-GGA
# formation energy without anion corrections	-1.19	eV/atom
# M_tot	0.000	μB/atom
# crystal system	orthorhombic
# symmetry	Pmm2 (25)
# energy above the most stable polymorph in this dataset	148	meV per atom
# ρ	5.55	g/cm³
data_YTlCl2
_cell_length_a 3.838
_cell_length_b 3.853
_cell_length_c 7.373
_cell_angle_alpha 90.00
_cell_angle_beta 90.00
_cell_angle_gamma 90.00
_space_group_name_H-M_alt 'P 1'
_space_group_IT_number 1
_space_group_name_Hall 'P 1'
loop_
_atom_site_label
_atom_site_type_symbol
_atom_site_fract_x
_atom_site_fract_y
_atom_site_fract_z
_atom_site_occupancy
Cl1 Cl 0.500 0.500 0.200 1
Tl1 Tl 0.000 0.000 0.519 1
Y1 Y 0.500 0.500 0.850 1
Cl2 Cl 0.000 0.000 0.932 1

=====

No. 6
# MgBi2Se, optimized geometry, DFT PBE-GGA
# formation energy without anion corrections	0.08	eV/atom
# M_tot	0.000	μB/atom
# crystal system	cubic
# symmetry	Fm-3m (225)
# energy above the most stable polymorph in this dataset	0	meV per atom
# ρ	8.09	g/cm³
data_MgBi2Se
_cell_length_a 5.329
_cell_length_b 5.329
_cell_length_c 5.329
_cell_angle_alpha 60.00
_cell_angle_beta 60.00
_cell_angle_gamma 60.00
_space_group_name_H-M_alt 'P 1'
_space_group_IT_number 1
_space_group_name_Hall 'P 1'
loop_
_atom_site_label
_atom_site_type_symbol
_atom_site_fract_x
_atom_site_fract_y
_atom_site_fract_z
_atom_site_occupancy
Bi1 Bi 0.750 0.750 0.750 1
Bi2 Bi 0.250 0.250 0.250 1
Mg1 Mg 0.000 0.000 0.000 1
Se1 Se 0.500 0.500 0.500 1

=====

No. 7
# Zr2HgSe2, optimized geometry, DFT PBE-GGA
# formation energy without anion corrections	-0.82	eV/atom
# M_tot	0.000	μB/atom
# crystal system	tetragonal
# symmetry	P4/mbm (127)
# energy above the most stable polymorph in this dataset	0	meV per atom
# ρ	8.55	g/cm³
data_Zr2HgSe2
_cell_length_a 7.766
_cell_length_b 7.766
_cell_length_c 3.485
_cell_angle_alpha 90.00
_cell_angle_beta 90.00
_cell_angle_gamma 90.00
_space_group_name_H-M_alt 'P 1'
_space_group_IT_number 1
_space_group_name_Hall 'P 1'
loop_
_atom_site_label
_atom_site_type_symbol
_atom_site_fract_x
_atom_site_fract_y
_atom_site_fract_z
_atom_site_occupancy
Se1 Se 0.859 0.359 0.500 1
Zr1 Zr 0.148 0.352 0.000 1
Zr2 Zr 0.852 0.648 0.000 1
Zr3 Zr 0.648 0.148 0.000 1
Se2 Se 0.641 0.859 0.500 1
Hg1 Hg 0.500 0.500 0.000 1
Hg2 Hg 0.000 0.000 0.000 1
Se3 Se 0.359 0.141 0.500 1
Zr4 Zr 0.352 0.852 0.000 1
Se4 Se 0.141 0.641 0.500 1

=====

No. 8
# Sm5ErGe4, optimized geometry, DFT PBE-GGA
# M_tot	0.000	μB/atom
# E_form	-625	meV/atom
# crystal system	monoclinic
# symmetry	C2/m (12)
# ρ	7.35	g/cm³
data_Sm5ErGe4
_cell_length_a 5.026
_cell_length_b 6.962
_cell_length_c 10.697
_cell_angle_alpha 129.94
_cell_angle_beta 103.59
_cell_angle_gamma 90.00
_space_group_name_H-M_alt 'P 1'
_space_group_IT_number 1
_space_group_name_Hall 'P 1'
loop_
_atom_site_label
_atom_site_type_symbol
_atom_site_fract_x
_atom_site_fract_y
_atom_site_fract_z
_atom_site_occupancy
Ge1 Ge 0.009 0.262 0.018 1
Ge2 Ge 0.323 0.895 0.647 1
Er1 Er 0.500 0.000 0.000 1
Sm1 Sm 0.500 0.500 0.000 1
Sm2 Sm 0.165 0.324 0.330 1
Sm3 Sm 0.835 0.167 0.671 1
Sm4 Sm 0.835 0.676 0.670 1
Ge3 Ge 0.991 0.738 0.982 1
Sm5 Sm 0.165 0.833 0.329 1
Ge4 Ge 0.677 0.105 0.353 1